Record 1
A plane-wave DFT calculation with GGA-PBE was carried out for a relaxed structure of Th2GaSb.

a = 4.3164 Å, b = 4.4896 Å, c = 12.2909 Å
α = 100.52°, β = 90.00°, γ = 90.00°
Sites, in units of the cell vectors:
Th 0.7500 0.6706 0.3412
Th 0.2500 0.3294 0.6588
Th 0.7500 0.9369 0.8739
Th 0.2500 0.0631 0.1261
Ga 0.2500 0.4625 0.9250
Ga 0.7500 0.5375 0.0750
Sb 0.2500 0.1951 0.3902
Sb 0.7500 0.8049 0.6098

Output
The formation energy (no corrections) comes out at -0.68 eV/atom. The space group is Cmcm (63). The value obtained for the density of states at the Fermi level is 0.72 states/eV per atom. For the excess energy over the best structure of this formula in the dataset, the calculation gives 0.00 kcal/mol of atoms.


Record 2
A plane-wave DFT calculation with GGA-PBE was carried out for a relaxed structure of Na3Sm5S8.

a = 8.0656 Å, b = 8.0656 Å, c = 8.0841 Å
α = 60.08°, β = 60.08°, γ = 60.00°
Sites, in units of the cell vectors:
Na 0.5000 0.0000 0.5000
Na 0.0000 0.0000 0.5000
Na 0.0000 0.5000 0.5000
Sm 0.5000 0.0000 0.0000
Sm 0.5000 0.5000 0.0000
Sm 0.0000 0.0000 0.0000
Sm 0.0000 0.5000 0.0000
Sm 0.5000 0.5000 0.5000
S 0.2501 0.2501 0.7539
S 0.2501 0.7459 0.7539
S 0.7459 0.2501 0.7539
S 0.7452 0.7452 0.7644
S 0.7499 0.7499 0.2461
S 0.7499 0.2541 0.2461
S 0.2541 0.7499 0.2461
S 0.2548 0.2548 0.2356

Output
The formation energy (no corrections) comes out at -1.86 eV/atom. The space group is R-3m (166). The value obtained for the density of states at the Fermi level is 0.27 states/eV per atom.


Record 3
A plane-wave DFT calculation with GGA-PBE was carried out for a relaxed structure of Tb4Er3Zn.

a = 3.5496 Å, b = 3.5496 Å, c = 18.5661 Å
α = 90.00°, β = 90.00°, γ = 90.00°
Sites, in units of the cell vectors:
Zn 0.5000 0.5000 0.0000
Tb 0.0000 0.0000 0.9034
Tb 0.0000 0.0000 0.0966
Tb 0.0000 0.0000 0.3657
Tb 0.0000 0.0000 0.6343
Er 0.5000 0.5000 0.2329
Er 0.5000 0.5000 0.5000
Er 0.5000 0.5000 0.7671

Output
The value obtained for the formation energy is -0.068 eV/atom. The space group is P4/mmm (123). The value obtained for the density of states at the Fermi level is 1.26 states/eV per atom.


Record 4
A plane-wave DFT calculation with GGA-PBE was carried out for a relaxed structure of Co3PbBr.

a = 4.4480 Å, b = 4.4480 Å, c = 4.4480 Å
α = 90.00°, β = 90.00°, γ = 90.00°
Sites, in units of the cell vectors:
Pb 0.5000 0.5000 0.5000
Co 0.0000 0.5000 0.0000
Co 0.0000 0.0000 0.5000
Co 0.5000 0.0000 0.0000
Br 0.0000 0.0000 0.0000

Output
The formation energy (no corrections) comes out at 1.01 eV/atom. The space group is Pm-3m (221). The value obtained for the density of states at the Fermi level is 1.58 states/eV per atom. For the excess energy over the best structure of this formula in the dataset, the calculation gives 0.00 kcal/mol of atoms.


Record 5
A plane-wave DFT calculation with GGA-PBE was carried out for a relaxed structure of Rb3TaCr2Te6.

a = 7.3556 Å, b = 7.3556 Å, c = 8.6313 Å
α = 98.19°, β = 98.19°, γ = 120.01°
Sites, in units of the cell vectors:
Rb 0.1657 0.8343 0.5000
Rb 0.8343 0.1657 0.5000
Rb 0.5000 0.5000 0.5000
Ta 0.0000 0.0000 0.0000
Cr 0.3333 0.6667 0.0000
Cr 0.6667 0.3333 0.0000
Te 0.9416 0.6061 0.8250
Te 0.7227 0.7227 0.1747
Te 0.0584 0.3939 0.1750
Te 0.6061 0.9416 0.8250
Te 0.2773 0.2773 0.8253
Te 0.3939 0.0584 0.1750

Output
The formation energy (no corrections) comes out at -0.48 eV/atom. The space group is C2/m (12). The value obtained for the density of states at the Fermi level is 0.61 states/eV per atom.


Record 6
A plane-wave DFT calculation with GGA-PBE was carried out for a relaxed structure of ZrHgNF2.

a = 4.2825 Å, b = 4.2825 Å, c = 4.3166 Å
α = 90.00°, β = 90.00°, γ = 90.00°
Sites, in units of the cell vectors:
N 0.0000 0.0000 0.5000
Hg 0.5000 0.5000 0.5000
Zr 0.0000 0.0000 0.0000
F 0.0000 0.5000 0.0000
F 0.5000 0.0000 0.0000

Output
The formation energy (no corrections) comes out at -1.64 eV/atom. The space group is P4/mmm (123). The value obtained for the density of states at the Fermi level is 0.22 states/eV per atom. For the excess energy over the best structure of this formula in the dataset, the calculation gives 0.00 kcal/mol of atoms.


Record 7
A plane-wave DFT calculation with GGA-PBE was carried out for a relaxed structure of LaGa2PtRh2.

a = 4.7031 Å, b = 4.7031 Å, c = 5.5983 Å
α = 90.00°, β = 90.00°, γ = 90.00°
Sites, in units of the cell vectors:
La 0.0000 0.0000 0.5000
Ga 0.5000 0.0000 0.0000
Ga 0.0000 0.5000 0.0000
Pt 0.0000 0.0000 0.0000
Rh 0.5000 0.5000 0.7448
Rh 0.5000 0.5000 0.2552

Output
The value obtained for the formation energy is -0.377 eV/atom. The space group is P4/mmm (123). The value obtained for the density of states at the Fermi level is 1.01 states/eV per atom.


Record 8
A plane-wave DFT calculation with GGA-PBE was carried out for a relaxed structure of NiIr2W.

a = 8.9254 Å, b = 8.9254 Å, c = 8.9254 Å
α = 17.65°, β = 17.65°, γ = 17.65°
Sites, in units of the cell vectors:
Ir 0.9991 0.9991 0.9991
Ir 0.7533 0.7533 0.7533
Ni 0.4995 0.4995 0.4995
W 0.2481 0.2481 0.2481

Output
The value obtained for the formation energy is 0.072 eV/atom. The space group is R3m (160). The value obtained for the density of states at the Fermi level is 1.61 states/eV per atom. For the excess energy over the best structure of this formula in the dataset, the calculation gives 7.33 kcal/mol of atoms.


Record 9
A plane-wave DFT calculation with GGA-PBE was carried out for a relaxed structure of Th2CuSn.

a = 3.4202 Å, b = 3.4202 Å, c = 8.7312 Å
α = 90.00°, β = 90.00°, γ = 90.00°
Sites, in units of the cell vectors:
Cu 0.5000 0.5000 0.0000
Sn 0.5000 0.5000 0.5000
Th 0.0000 0.0000 0.7767
Th 0.0000 0.0000 0.2233

Output
The value obtained for the formation energy is -0.259 eV/atom. The space group is P4/mmm (123). The value obtained for the density of states at the Fermi level is 0.85 states/eV per atom. For the excess energy over the best structure of this formula in the dataset, the calculation gives 1.86 kcal/mol of atoms.


Record 10
A plane-wave DFT calculation with GGA-PBE was carried out for a relaxed structure of TeH2Pd3.

a = 3.8109 Å, b = 6.6118 Å, c = 6.8097 Å
α = 97.64°, β = 106.25°, γ = 90.00°
Sites, in units of the cell vectors:
Te 0.3720 0.0628 0.7440
Te 0.6280 0.9372 0.2560
H 0.2329 0.6133 0.4658
H 0.7671 0.3867 0.5342
H 0.9283 0.6490 0.8566
H 0.0717 0.3510 0.1434
Pd 0.2281 0.3264 0.4562
Pd 0.0972 0.6506 0.1944
Pd 0.4390 0.6874 0.8779
Pd 0.7719 0.6736 0.5438
Pd 0.5610 0.3126 0.1221
Pd 0.9028 0.3494 0.8056

Output
Its energy is -4.3533 eV/atom. The space group is C2/m (12). The value obtained for the density of states at the Fermi level is 0.47 states/eV per atom.


Record 11
A plane-wave DFT calculation with GGA-PBE was carried out for a relaxed structure of TeAs.

a = 3.4303 Å, b = 3.4303 Å, c = 4.5601 Å
α = 90.00°, β = 90.00°, γ = 113.70°
Sites, in units of the cell vectors:
As 0.0000 0.0000 0.0000
Te 0.5000 0.5000 0.5000

Output
The formation energy (no corrections) comes out at 0.46 eV/atom. The space group is Cmmm (65). The value obtained for the density of states at the Fermi level is 0.69 states/eV per atom.


Record 12
A plane-wave DFT calculation with GGA-PBE was carried out for a relaxed structure of ReAgHg2.

a = 4.1420 Å, b = 4.1420 Å, c = 10.2763 Å
α = 78.37°, β = 78.37°, γ = 90.00°
Sites, in units of the cell vectors:
Re 0.0000 0.0000 0.0000
Re 0.7500 0.2500 0.5000
Hg 0.6317 0.1250 0.2500
Hg 0.1183 0.6250 0.2500
Hg 0.3750 0.3683 0.7500
Hg 0.8750 0.8817 0.7500
Ag 0.5000 0.5000 0.0000
Ag 0.2500 0.7500 0.5000

Output
The value obtained for the formation energy is 1.104 eV/atom. The space group is I-42d (122). The value obtained for the density of states at the Fermi level is 0.59 states/eV per atom. For the excess energy over the best structure of this formula in the dataset, the calculation gives 12.45 kcal/mol of atoms.


Record 13
A plane-wave DFT calculation with GGA-PBE was carried out for a relaxed structure of Li2CaZr.

a = 4.9212 Å, b = 3.0277 Å, c = 6.7435 Å
α = 78.26°, β = 90.00°, γ = 90.00°
Sites, in units of the cell vectors:
Ca 0.5000 0.7500 0.7500
Li 0.0000 0.9159 0.0382
Li 0.0000 0.5841 0.4618
Zr 0.5000 0.2500 0.2500

Output
The value obtained for the formation energy is 0.332 eV/atom. The space group is P2/m (10). The value obtained for the density of states at the Fermi level is 1.08 states/eV per atom. For the excess energy over the best structure of this formula in the dataset, the calculation gives 1.73 kcal/mol of atoms.


| no. | mass density (g/cm3) |
| --- | --- |
| 1 | 9.30 |
| 2 | 4.81 |
| 3 | 8.54 |
| 4 | 8.75 |
| 5 | 5.60 |
| 6 | 7.21 |
| 7 | 9.11 |
| 8 | 18.25 |
| 9 | 10.51 |
| 10 | 9.14 |
| 11 | 6.84 |
| 12 | 13.66 |
| 13 | 2.45 |